# 1
# Ce2Y3ThBi6, relaxed, DFT PBE-GGA
data_Ce2Y3ThBi6
_cell_length_a 7.8758
_cell_length_b 7.8758
_cell_length_c 7.8571
_cell_angle_alpha 99.62
_cell_angle_beta 99.62
_cell_angle_gamma 119.99
_space_group_name_H-M_alt 'P 1'
_space_group_IT_number 1
loop_
_space_group_symop_operation_xyz
'x,y,z'
loop_
_atom_site_label
_atom_site_fract_x
_atom_site_fract_y
_atom_site_fract_z
_atom_site_occupancy
Bi1 0.7521 0.7521 0.2568 1
Bi2 0.5807 0.9142 0.7426 1
Bi3 0.2479 0.2479 0.7432 1
Bi4 0.9142 0.5807 0.7426 1
Bi5 0.4193 0.0858 0.2574 1
Bi6 0.0858 0.4193 0.2574 1
Y1 0.5000 0.5000 0.5000 1
Y2 0.8335 0.1665 0.5000 1
Y3 0.1665 0.8335 0.5000 1
Ce1 0.3332 0.6668 0.0000 1
Ce2 0.6668 0.3332 0.0000 1
Th1 0.0000 0.0000 0.0000 1
# - symmetry = C2/m

---

# 2
# CeTiBi2, relaxed, DFT PBE-GGA
data_CeTiBi2
_cell_length_a 3.3699
_cell_length_b 3.3699
_cell_length_c 11.3659
_cell_angle_alpha 81.47
_cell_angle_beta 81.47
_cell_angle_gamma 60.00
_space_group_name_H-M_alt 'P 1'
_space_group_IT_number 1
loop_
_space_group_symop_operation_xyz
'x,y,z'
loop_
_atom_site_label
_atom_site_fract_x
_atom_site_fract_y
_atom_site_fract_z
_atom_site_occupancy
Ce1 0.0000 0.0000 0.0000 1
Bi1 0.9009 0.9009 0.2972 1
Bi2 0.0991 0.0991 0.7028 1
Ti1 0.5000 0.5000 0.5000 1
# - E above lowest polymorph (eV per atom) = 0.289
# - symmetry = R-3m

---

no.,DFT formation energy (eV per atom)
1,-0.817
2,0.045